A geometry-optimized LiAc2Th structure, computed with PBE.

formation enthalpy at 0 K	0.375	eV per atom
symmetry	R-3m, No. 166
E above lowest polymorph	292	meV per atom
magnetization	0.000	Bohr magnetons per cell

abc: 13.004 13.004 13.004
angles: 16.16 16.16 16.16
Atoms (fractional coordinates):
Li 0.000 0.000 0.000
Ac 0.408 0.408 0.408
Ac 0.592 0.592 0.592
Th 0.500 0.500 0.500